A plane-wave DFT calculation with PBE-GGA was carried out for BaNbSn after structural relaxation.

a = 5.393 Å, b = 4.597 Å, c = 16.972 Å
α = 90.00°, β = 104.09°, γ = 90.00°
Each line ends with the local moment (μB).
Sites, in units of the cell vectors:
Ba 0.021 0.500 0.312  0.03
Ba 0.659 0.000 0.480  0.01
Ba 0.659 0.500 0.980  0.01
Sn 0.826 0.500 0.653  0.00
Sn 0.177 0.000 0.037  0.01
Nb 0.400 0.000 0.657  -0.14
Sn 0.177 0.500 0.537  0.01
Nb 0.380 0.000 0.214  0.24
Nb 0.400 0.500 0.157  -0.14
Ba 0.021 0.000 0.812  0.03
Nb 0.380 0.500 0.714  0.24
Sn 0.826 0.000 0.153  0.00

Formation enthalpy at 0 K = 0.1238 eV/atom
Density of states at the Fermi level = 0.972 states/eV/atom
DFT total energy = -5.208 eV/atom

A plane-wave DFT calculation with PBE-GGA was carried out for BaNbSn2 after structural relaxation.

a = 5.903 Å, b = 5.903 Å, c = 9.989 Å
α = 72.81°, β = 72.81°, γ = 90.00°
Each line ends with the local moment (μB).
Sites, in units of the cell vectors:
Ba 0.750 0.250 0.500  0.01
Sn 0.875 0.689 0.750  -0.05
Nb 0.250 0.750 0.500  0.89
Sn 0.375 0.561 0.750  -0.04
Ba 0.000 0.000 0.000  0.01
Sn 0.439 0.125 0.250  -0.06
Sn 0.311 0.625 0.250  -0.06
Nb 0.500 0.500 0.000  0.89

Formation enthalpy at 0 K = 0.1747 eV/atom
Density of states at the Fermi level = 0.538 states/eV/atom
DFT total energy = -4.825 eV/atom

A plane-wave DFT calculation with PBE-GGA was carried out for BaNb2Sn2 after structural relaxation.

a = 8.848 Å, b = 8.848 Å, c = 3.101 Å
α = 90.00°, β = 90.00°, γ = 90.00°
Sites, in units of the cell vectors:
Sn 0.322 0.178 0.500
Sn 0.178 0.678 0.500
Nb 0.108 0.392 0.000
Nb 0.392 0.892 0.000
Sn 0.678 0.822 0.500
Nb 0.892 0.608 0.000
Sn 0.822 0.322 0.500
Nb 0.608 0.108 0.000
Ba 0.000 0.000 0.000
Ba 0.500 0.500 0.000

Formation enthalpy at 0 K = -0.0111 eV/atom
Density of states at the Fermi level = 0.470 states/eV/atom
DFT total energy = -6.025 eV/atom

A plane-wave DFT calculation with PBE-GGA was carried out for BaNbSn after structural relaxation.

a = 5.811 Å, b = 4.598 Å, c = 8.205 Å
α = 90.00°, β = 110.26°, γ = 90.00°
Each line ends with the local moment (μB).
Sites, in units of the cell vectors:
Ba 0.418 0.500 0.348  0.01
Sn 0.401 0.000 0.651  -0.01
Nb 0.078 0.500 0.701  0.30
Ba 0.739 0.500 0.985  0.03
Sn 0.226 0.000 0.978  0.00
Nb 0.894 0.000 0.629  -0.08

Formation enthalpy at 0 K = 0.0563 eV/atom
Density of states at the Fermi level = 0.907 states/eV/atom
DFT total energy = -5.275 eV/atom